Entry 1:
The following is a PBE-GGA calculation of a geometry-optimized LaTl3Hg structure, from Alexandria. Values from VASP.

```
&SYSTEM
  ibrav = 0, nat = 5, ntyp = 3
/
ATOMIC_SPECIES
La 138.91 La.upf
Tl 204.38 Tl.upf
Hg 200.59 Hg.upf
ATOMIC_POSITIONS crystal
La 0.0000 0.0000 0.0000
Tl 0.0000 0.5000 0.5000
Tl 0.5000 0.0000 0.5000
Tl 0.5000 0.5000 0.0000
Hg 0.5000 0.5000 0.5000
CELL_PARAMETERS angstrom
5.6059 0.0000 0.0000
0.0000 5.6059 0.0000
0.0000 0.0000 5.6059
```

DFT formation energy = 0.233 eV per atom
Magnetic moment = 0.000 μB/atom
Energy relative to the lowest polymorph listed for this composition = 0.0 meV/atom
Volume = 176.2 Å³ per cell
VASP energy = -2.2323 eV/atom

Entry 2:
The following is a PBE-GGA calculation of a geometry-optimized HgOsSeO2 structure, from Alexandria. Values from VASP.

```
&SYSTEM
  ibrav = 0, nat = 5, ntyp = 4
/
ATOMIC_SPECIES
Hg 200.59 Hg.upf
Os 190.23 Os.upf
Se 78.96 Se.upf
O 16.00 O.upf
ATOMIC_POSITIONS crystal
Hg 0.0000 0.0000 0.0000
Os 0.5000 0.5000 0.5000
Se 0.5000 0.5000 0.0000
O 0.0000 0.5000 0.5000
O 0.5000 0.0000 0.5000
CELL_PARAMETERS angstrom
3.8555 0.0000 0.0000
0.0000 3.8555 0.0000
0.0000 0.0000 5.4915
```

Magnetic moment = 0.087 μB/atom
Energy relative to the lowest polymorph listed for this composition = 0.0 meV/atom
Volume = 81.6 Å³ per cell
VASP energy = -5.3983 eV/atom
Energy relative to the elements, uncorrected = -0.41 eV/atom

Entry 3:
The following is a PBE-GGA calculation of a geometry-optimized Li2SnSbH structure, from Alexandria. Values from VASP.

```
&SYSTEM
  ibrav = 0, nat = 5, ntyp = 4
/
ATOMIC_SPECIES
Li 6.94 Li.upf
Sn 118.71 Sn.upf
Sb 121.76 Sb.upf
H 1.01 H.upf
ATOMIC_POSITIONS crystal
Li 0.0000 0.5000 0.0000
Li 0.5000 0.0000 0.0000
Sn 0.0000 0.0000 0.5000
Sb 0.5000 0.5000 0.5000
H 0.5000 0.5000 0.0000
CELL_PARAMETERS angstrom
4.4974 0.0000 0.0000
0.0000 4.4974 0.0000
0.0000 0.0000 4.4638
```

Magnetic moment = 0.000 μB/atom
Energy relative to the lowest polymorph listed for this composition = 69.9 meV/atom
Volume = 90.3 Å³ per cell
VASP energy = -3.2373 eV/atom